[1]
VASP calculation (PBE-GGA) on NaFe2H after structural relaxation.

Cell lengths 5.8536, 5.8536, 5.8536 Å; angles 90.00, 90.00, 90.00 degrees
With the nearest neighbours (Å) after each atom.
Space group Fm-3m (No. 225)
One atom of each set of equivalent atoms:
1 Na 0.0000 0.0000 0.0000 (multiplicity 4)  8 Fe 2.53
2 Fe 0.2500 0.2500 0.2500 (multiplicity 8)  4 H 2.53, 4 Na 2.53
3 H 0.0000 0.0000 0.5000 (multiplicity 4)  8 Fe 2.53

## Properties
magnetic moment = 5.30 μB per formula unit
D(E_F) = 3.09 states/eV/f.u.
excess energy over the best structure of this formula in the dataset = 944 meV per atom
DFT total energy = -4.04 eV/atom


[2]
VASP calculation (PBE-GGA) on BeZnRe2 after structural relaxation.

Cell lengths 2.9768, 2.9768, 6.1151 Å; angles 90.00, 90.00, 90.00 degrees
With the nearest neighbours (Å) after each atom.
Space group P4mm (No. 99)
One atom of each set of equivalent atoms:
1 Be 0.0000 0.0000 0.0000 (multiplicity 1)  4 Zn 2.52, 4 Re 2.53
2 Zn 0.5000 0.5000 0.7727 (multiplicity 1)  4 Be 2.52, 5 Re 2.79-2.81
3 Re 0.0000 0.0000 0.4694 (multiplicity 1)  4 Re 2.57, 4 Zn 2.81, 1 Be 2.87
4 Re 0.5000 0.5000 0.2293 (multiplicity 1)  4 Be 2.53, 4 Re 2.57, 1 Zn 2.79

## Properties
formation energy = 56 meV per atom
magnetic moment = 0.00 μB per formula unit
D(E_F) = 1.50 states/eV/f.u.
DFT total energy = -7.42 eV/atom


[3]
VASP calculation (PBE-GGA) on Ho2Tl2In after structural relaxation.

Cell lengths 5.2043, 11.6180, 20.6074 Å; angles 90.00, 90.00, 90.00 degrees
With the nearest neighbours (Å) after each atom.
Space group Fddd (No. 70, origin choice 2)
One atom of each set of equivalent atoms:
1 Ho 0.1250 0.2782 0.1250 (multiplicity 16)  2 In 3.15, 2 Tl 3.25, 2 Ho 3.44
2 Tl 0.0000 0.0000 0.5000 (multiplicity 16)  2 In 3.03, 2 Tl 3.18, 2 Ho 3.25
3 In 0.1250 0.1250 0.6250 (multiplicity 8)  4 Tl 3.03, 4 Ho 3.15

## Properties
formation energy = 66 meV per atom
magnetic moment = 0.00 μB per formula unit
D(E_F) = 3.39 states/eV/f.u.
excess energy over the best structure of this formula in the dataset = 338 meV per atom
DFT total energy = -3.26 eV/atom


[4]
VASP calculation (PBE-GGA) on ScW2Cl after structural relaxation.

Cell lengths 2.8526, 4.8275, 5.2411 Å; angles 90.00, 90.00, 90.00 degrees
With the nearest neighbours (Å) after each atom.
Space group Pmmm (No. 47)
One atom of each set of equivalent atoms:
1 Sc 0.0000 0.0000 0.0000 (multiplicity 1)  2 Cl 2.62, 2 Sc 2.85
2 W 0.5000 0.5000 0.2349 (multiplicity 2)  1 W 2.46
3 Cl 0.0000 0.0000 0.5000 (multiplicity 1)  2 Sc 2.62, 2 Cl 2.85

## Properties
raw formation energy = 0.635 eV/atom
magnetic moment = 0.00 μB per formula unit
D(E_F) = 3.20 states/eV/f.u.
excess energy over the best structure of this formula in the dataset = 737 meV per atom
DFT total energy = -7.89 eV/atom


[5]
VASP calculation (PBE-GGA) on KHgSO4 after structural relaxation.

Cell lengths 9.0348, 9.0348, 9.0348 Å; angles 90.00, 90.00, 90.00 degrees
With the nearest neighbours (Å) after each atom.
Space group F-43m (No. 216)
One atom of each set of equivalent atoms:
1 K 0.0000 0.0000 0.0000 (multiplicity 4)  12 O 3.85, 4 Hg 3.91
2 Hg 0.2500 0.2500 0.2500 (multiplicity 4)  4 O 2.42
3 S 0.0000 0.0000 0.5000 (multiplicity 4)  4 O 1.50
4 O 0.0957 0.0957 0.4043 (multiplicity 16)  1 S 1.50

## Properties
raw formation energy = -1.066 eV/atom
magnetic moment = 0.00 μB per formula unit
D(E_F) = 2.73 states/eV/f.u.
DFT total energy = -4.69 eV/atom


[6]
VASP calculation (PBE-GGA) on RePbO2 after structural relaxation.

Cell lengths 4.8053, 4.8053, 11.7159 Å; angles 90.00, 90.00, 90.00 degrees
With the nearest neighbours (Å) after each atom.
Space group I-42d (No. 122)
One atom of each set of equivalent atoms:
1 Re 0.0000 0.0000 0.0000 (multiplicity 4)  4 O 1.95
2 Pb 0.0000 0.0000 0.5000 (multiplicity 4)  4 O 2.71
3 O 0.0963 0.2500 0.1250 (multiplicity 8)  2 Re 1.95

## Properties
raw formation energy = -0.408 eV/atom
magnetic moment = 0.00 μB per formula unit
D(E_F) = 2.42 states/eV/f.u.
DFT total energy = -6.93 eV/atom


[7]
VASP calculation (PBE-GGA) on Ba8Ag2Rh after structural relaxation.

Cell lengths 15.3723, 8.4206, 8.7452 Å; angles 90.00, 90.28, 90.00 degrees
With the nearest neighbours (Å) after each atom.
Space group C2/m (No. 12)
One atom of each set of equivalent atoms:
1 Ba 0.0408 0.2454 0.2404 (multiplicity 8)  1 Rh 3.01
2 Ba 0.1954 0.0000 0.8937 (multiplicity 4)  1 Rh 3.15, 1 Ag 3.43
3 Ba 0.2041 0.5000 0.6021 (multiplicity 4)  1 Ag 3.37
4 Ag 0.0936 0.0000 0.5445 (multiplicity 4)  1 Ag 2.98
5 Rh 0.0000 0.0000 0.0000 (multiplicity 2)  6 Ba 3.01-3.15

## Properties
formation energy = -143 meV per atom
magnetic moment = 0.22 μB per formula unit
D(E_F) = 9.45 states/eV/f.u.
excess energy over the best structure of this formula in the dataset = 0 meV per atom
DFT total energy = -2.73 eV/atom


[8]
VASP calculation (PBE-GGA) on SiAg2Rh after structural relaxation.

Cell lengths 7.7878, 2.9554, 5.9240 Å; angles 90.00, 99.85, 90.00 degrees
With the nearest neighbours (Å) after each atom.
Space group Cm (No. 8)
One atom of each set of equivalent atoms:
1 Si 0.0000 0.0000 0.0000 (multiplicity 2)  3 Rh 2.36-2.37
2 Ag 0.2514 0.0000 0.7194 (multiplicity 2)  5 Ag 2.74-2.96, 3 Si 2.76-2.78, 2 Rh 2.90
3 Ag 0.4901 0.0000 0.4301 (multiplicity 2)  5 Ag 2.74-2.96, 3 Rh 2.77-2.85, 2 Si 2.96
4 Rh 0.2305 0.5000 0.1342 (multiplicity 2)  3 Si 2.36-2.37

## Properties
raw formation energy = -0.039 eV/atom
magnetic moment = 0.00 μB per formula unit
D(E_F) = 1.33 states/eV/f.u.
DFT total energy = -4.66 eV/atom